Material: Co2HPdRh
Method: DFT, GGA-PBE
State: relaxed

CIF file:
```
data_Co2HPdRh
_symmetry_space_group_name_H-M 'P 1'
_symmetry_Int_Tables_number 1
_cell_length_a 3.8191
_cell_length_b 3.8191
_cell_length_c 3.7475
_cell_angle_alpha 90.00
_cell_angle_beta 90.00
_cell_angle_gamma 90.00
loop_
_symmetry_equiv_pos_as_xyz
'x,y,z'
loop_
_atom_site_label
_atom_site_fract_x
_atom_site_fract_y
_atom_site_fract_z
Co1 0.0000 0.5000 0.0000
Co2 0.5000 0.0000 0.0000
Rh1 0.5000 0.5000 0.5000
Pd1 0.0000 0.0000 0.5000
H1 0.0000 0.0000 0.0000
```

Space-group type: No. 123
Offset from the most stable computed form: 50 meV/atom
DFT total energy: -29.54 eV/f.u.
Calculated volume: 10.932 A^3/atom
Total magnetization: 4.8 μB/cell


Material: Co2HPdRh
Method: DFT, GGA-PBE
State: relaxed

CIF file:
```
data_Co2HPdRh
_symmetry_space_group_name_H-M 'P 1'
_symmetry_Int_Tables_number 1
_cell_length_a 3.8210
_cell_length_b 3.8210
_cell_length_c 3.7378
_cell_angle_alpha 90.00
_cell_angle_beta 90.00
_cell_angle_gamma 90.00
loop_
_symmetry_equiv_pos_as_xyz
'x,y,z'
loop_
_atom_site_label
_atom_site_fract_x
_atom_site_fract_y
_atom_site_fract_z
Co1 0.0000 0.5000 0.0000
Co2 0.5000 0.0000 0.0000
Rh1 0.0000 0.0000 0.5000
Pd1 0.5000 0.5000 0.5000
H1 0.0000 0.0000 0.0000
```

Space-group type: No. 123
Offset from the most stable computed form: 0 meV/atom
DFT total energy: -29.79 eV/f.u.
Calculated volume: 10.914 A^3/atom
Total magnetization: 4.7 μB/cell


Material: CoHPd2Rh
Method: DFT, GGA-PBE
State: relaxed

CIF file:
```
data_CoHPd2Rh
_symmetry_space_group_name_H-M 'P 1'
_symmetry_Int_Tables_number 1
_cell_length_a 3.8899
_cell_length_b 3.8899
_cell_length_c 3.9119
_cell_angle_alpha 90.00
_cell_angle_beta 90.00
_cell_angle_gamma 90.00
loop_
_symmetry_equiv_pos_as_xyz
'x,y,z'
loop_
_atom_site_label
_atom_site_fract_x
_atom_site_fract_y
_atom_site_fract_z
Co1 0.0000 0.0000 0.5000
Rh1 0.5000 0.5000 0.5000
Pd1 0.0000 0.5000 0.0000
Pd2 0.5000 0.0000 0.0000
H1 0.0000 0.0000 0.0000
```

Space-group type: No. 123
Offset from the most stable computed form: 37 meV/atom
DFT total energy: -27.55 eV/f.u.
Calculated volume: 11.838 A^3/atom
Total magnetization: 3.1 μB/cell


Material: CoHPd2Rh
Method: DFT, GGA-PBE
State: relaxed

CIF file:
```
data_CoHPd2Rh
_symmetry_space_group_name_H-M 'P 1'
_symmetry_Int_Tables_number 1
_cell_length_a 3.9056
_cell_length_b 3.9056
_cell_length_c 3.9268
_cell_angle_alpha 90.00
_cell_angle_beta 90.00
_cell_angle_gamma 90.00
loop_
_symmetry_equiv_pos_as_xyz
'x,y,z'
loop_
_atom_site_label
_atom_site_fract_x
_atom_site_fract_y
_atom_site_fract_z
Co1 0.5000 0.5000 0.5000
Rh1 0.0000 0.0000 0.5000
Pd1 0.0000 0.5000 0.0000
Pd2 0.5000 0.0000 0.0000
H1 0.0000 0.0000 0.0000
```

Space-group type: No. 123
Offset from the most stable computed form: 0 meV/atom
DFT total energy: -27.74 eV/f.u.
Calculated volume: 11.980 A^3/atom
Total magnetization: 3.4 μB/cell